FeTe2Pt: relaxed, PBEsol.

Cell and atoms, written as POSCAR:
```
FeTe2Pt
1.0
3.411 0.000 0.000
0.000 3.356 0.000
-0.086 0.000 6.541
Fe Te Pt
1 2 1
direct
0.000 0.000 0.000 Fe
0.414 0.500 0.762 Te
0.586 0.500 0.238 Te
0.000 0.000 0.500 Pt
```

calculated volume: 75 Å³/cell
energy relative to the elements, uncorrected: 0.2723 eV per atom
space-group type: No. 10
spin magnetization: 1.9 μB/f.u.


TlFePt2: relaxed, PBEsol.

Cell and atoms, written as POSCAR:
```
TlFePt2
1.0
-1.999 1.999 3.936
1.999 -1.999 3.936
1.999 1.999 -3.936
Tl Fe Pt
1 1 2
direct
0.000 0.000 0.000 Tl
0.500 0.500 0.000 Fe
0.250 0.750 0.500 Pt
0.750 0.250 0.500 Pt
```

energy relative to the elements: 1.333 kcal/mol of atoms
calculated volume: 63 Å³/cell
space-group type: No. 139
spin magnetization: 3.4 μB/f.u.


TlFePt: relaxed, PBEsol.

Cell and atoms, written as POSCAR:
```
TlFePt
1.0
0.000 3.068 3.068
3.068 0.000 3.068
3.068 3.068 0.000
Tl Fe Pt
1 1 1
direct
0.000 0.000 0.000 Tl
0.500 0.500 0.500 Fe
0.250 0.250 0.250 Pt
```

energy relative to the elements: 7.015 kcal/mol of atoms
calculated volume: 58 Å³/cell
space-group type: No. 216
spin magnetization: 3.0 μB/f.u.


TlFePt2: relaxed, PBEsol.

Cell and atoms, written as POSCAR:
```
TlFePt2
1.0
3.301 0.000 0.000
0.000 3.301 0.000
0.000 0.000 5.910
Tl Fe Pt
1 1 2
direct
0.000 0.000 0.000 Tl
0.500 0.500 0.290 Fe
0.000 0.000 0.473 Pt
0.500 0.500 0.737 Pt
```

energy relative to the elements: 3.631 kcal/mol of atoms
calculated volume: 64 Å³/cell
space-group type: No. 99
spin magnetization: 3.2 μB/f.u.


TlFePt: relaxed, PBEsol.

Cell and atoms, written as POSCAR:
```
TlFePt
1.0
-1.466 1.466 5.725
1.466 -1.466 5.725
1.466 1.466 -5.725
Tl Fe Pt
1 1 1
direct
0.000 0.000 0.000 Tl
0.326 0.326 0.000 Fe
0.690 0.690 0.000 Pt
```

energy relative to the elements: 5.645 kcal/mol of atoms
calculated volume: 49 Å³/cell
space-group type: No. 107
spin magnetization: 3.0 μB/f.u.


TlFePt2: relaxed, PBEsol.

Cell and atoms, written as POSCAR:
```
TlFePt2
1.0
2.871 0.000 0.000
0.000 2.871 0.000
0.000 0.000 7.755
Tl Fe Pt
1 1 2
direct
0.000 0.000 0.000 Tl
0.000 0.000 0.500 Fe
0.500 0.500 0.286 Pt
0.500 0.500 0.714 Pt
```

energy relative to the elements: 0.562 kcal/mol of atoms
calculated volume: 64 Å³/cell
space-group type: No. 123
spin magnetization: 3.5 μB/f.u.


Fe2PtW: relaxed, PBEsol.

Cell and atoms, written as POSCAR:
```
Fe2PtW
1.0
3.765 0.000 0.000
0.000 3.765 0.000
0.000 0.000 3.521
Fe Pt W
2 1 1
direct
0.000 0.500 0.000 Fe
0.500 0.000 0.000 Fe
0.000 0.000 0.500 Pt
0.500 0.500 0.500 W
```

energy relative to the elements: -2.819 kcal/mol of atoms
calculated volume: 50 Å³/cell
space-group type: No. 123
spin magnetization: 0.0 μB/f.u.


Fe2PtW: relaxed, PBEsol.

Cell and atoms, written as POSCAR:
```
Fe2PtW
1.0
2.663 0.000 0.000
0.000 3.665 0.000
0.000 0.000 5.304
Fe Pt W
2 1 1
direct
0.000 0.000 0.000 Fe
0.500 0.500 0.216 Fe
0.000 0.000 0.478 Pt
0.500 0.500 0.763 W
```

energy relative to the elements: -1.195 kcal/mol of atoms
calculated volume: 52 Å³/cell
space-group type: No. 25
spin magnetization: 2.8 μB/f.u.


FePt2W: relaxed, PBEsol.

Cell and atoms, written as POSCAR:
```
FePt2W
1.0
2.716 0.000 0.000
0.000 2.716 0.000
0.000 0.000 7.732
Fe Pt W
1 2 1
direct
0.000 0.000 0.000 Fe
0.500 0.500 0.243 Pt
0.500 0.500 0.757 Pt
0.000 0.000 0.500 W
```

energy relative to the elements: -5.139 kcal/mol of atoms
calculated volume: 57 Å³/cell
space-group type: No. 123
spin magnetization: 3.3 μB/f.u.


Fe3PtW: relaxed, PBEsol.

Cell and atoms, written as POSCAR:
```
Fe3PtW
1.0
4.491 0.000 0.000
0.000 4.491 0.000
0.000 0.000 4.491
Fe Pt W
3 1 1
direct
0.000 0.000 0.500 Fe
0.000 0.500 0.000 Fe
0.500 0.000 0.000 Fe
0.000 0.000 0.000 Pt
0.500 0.500 0.500 W
```

energy relative to the elements: 43.729 kcal/mol of atoms
calculated volume: 91 Å³/cell
space-group type: No. 221
spin magnetization: 6.7 μB/f.u.


Fe4PtW: relaxed, PBEsol.

Cell and atoms, written as POSCAR:
```
Fe4PtW
1.0
0.000 3.289 3.289
3.289 0.000 3.289
3.289 3.289 0.000
Fe Pt W
4 1 1
direct
0.125 0.125 0.125 Fe
0.125 0.125 0.626 Fe
0.125 0.626 0.125 Fe
0.626 0.125 0.125 Fe
0.750 0.750 0.750 Pt
0.500 0.500 0.500 W
```

energy relative to the elements: -2.823 kcal/mol of atoms
calculated volume: 71 Å³/cell
space-group type: No. 216
spin magnetization: 6.1 μB/f.u.


FePtW2: relaxed, PBEsol.

Cell and atoms, written as POSCAR:
```
FePtW2
1.0
3.803 0.000 0.000
0.000 3.803 0.000
0.000 0.000 3.866
Fe Pt W
1 1 2
direct
0.000 0.000 0.000 Fe
0.500 0.500 0.000 Pt
0.000 0.500 0.500 W
0.500 0.000 0.500 W
```

energy relative to the elements: -1.891 kcal/mol of atoms
calculated volume: 56 Å³/cell
space-group type: No. 123
spin magnetization: 0.0 μB/f.u.


FePtW2: relaxed, PBEsol.

Cell and atoms, written as POSCAR:
```
FePtW2
1.0
-1.904 1.904 3.855
1.904 -1.904 3.855
1.904 1.904 -3.855
Fe Pt W
1 1 2
direct
0.000 0.000 0.000 Fe
0.500 0.500 0.000 Pt
0.250 0.750 0.500 W
0.750 0.250 0.500 W
```

energy relative to the elements: -1.975 kcal/mol of atoms
calculated volume: 56 Å³/cell
space-group type: No. 139
spin magnetization: 0.0 μB/f.u.


FePt2W: relaxed, PBEsol.

Cell and atoms, written as POSCAR:
```
FePt2W
1.0
2.709 0.000 0.000
0.000 3.925 0.000
0.000 0.000 5.331
Fe Pt W
1 2 1
direct
0.000 0.000 0.000 Fe
0.500 0.500 0.247 Pt
0.500 0.500 0.753 Pt
0.000 0.000 0.500 W
```

energy relative to the elements: -4.718 kcal/mol of atoms
calculated volume: 57 Å³/cell
space-group type: No. 47
spin magnetization: 2.6 μB/f.u.


FePt2W: relaxed, PBEsol.

Cell and atoms, written as POSCAR:
```
FePt2W
1.0
1.374 0.793 8.800
-1.374 0.793 8.800
0.000 -1.586 8.800
Fe Pt W
1 2 1
direct
0.000 0.000 0.000 Fe
0.252 0.252 0.252 Pt
0.748 0.748 0.748 Pt
0.500 0.500 0.500 W
```

energy relative to the elements: -1.212 kcal/mol of atoms
calculated volume: 58 Å³/cell
space-group type: No. 166
spin magnetization: 2.8 μB/f.u.


FePtW: relaxed, PBEsol.

Cell and atoms, written as POSCAR:
```
FePtW
1.0
-1.339 1.895 4.062
1.339 -1.895 4.062
1.339 1.895 -4.062
Fe Pt W
1 1 1
direct
0.000 0.000 0.000 Fe
0.668 0.668 0.000 Pt
0.343 0.343 0.000 W
```

energy relative to the elements: -2.266 kcal/mol of atoms
calculated volume: 41 Å³/cell
space-group type: No. 44
spin magnetization: 1.6 μB/f.u.


FePt2W: relaxed, PBEsol.

Cell and atoms, written as POSCAR:
```
FePt2W
1.0
-1.884 1.884 3.947
1.884 -1.884 3.947
1.884 1.884 -3.947
Fe Pt W
1 2 1
direct
0.000 0.000 0.000 Fe
0.250 0.750 0.500 Pt
0.750 0.250 0.500 Pt
0.500 0.500 0.000 W
```

energy relative to the elements: -4.982 kcal/mol of atoms
calculated volume: 56 Å³/cell
space-group type: No. 139
spin magnetization: 2.0 μB/f.u.


Fe2PtW: relaxed, PBEsol.

Cell and atoms, written as POSCAR:
```
Fe2PtW
1.0
-1.881 1.881 3.645
1.881 -1.881 3.645
1.881 1.881 -3.645
Fe Pt W
2 1 1
direct
0.250 0.750 0.500 Fe
0.750 0.250 0.500 Fe
0.000 0.000 0.000 Pt
0.500 0.500 0.000 W
```

energy relative to the elements: -1.245 kcal/mol of atoms
calculated volume: 52 Å³/cell
space-group type: No. 139
spin magnetization: 2.8 μB/f.u.


Fe2PtW: relaxed, PBEsol.

Cell and atoms, written as POSCAR:
```
Fe2PtW
1.0
-1.848 1.848 3.775
1.848 -1.848 3.775
1.848 1.848 -3.775
Fe Pt W
2 1 1
direct
0.000 0.000 0.000 Fe
0.750 0.250 0.500 Fe
0.250 0.750 0.500 Pt
0.500 0.500 0.000 W
```

energy relative to the elements: -2.423 kcal/mol of atoms
calculated volume: 52 Å³/cell
space-group type: No. 119
spin magnetization: 2.9 μB/f.u.


Fe2PtW: relaxed, PBEsol.

Cell and atoms, written as POSCAR:
```
Fe2PtW
1.0
2.773 0.000 0.000
0.000 2.773 0.000
0.000 0.000 6.816
Fe Pt W
2 1 1
direct
0.000 0.000 0.000 Fe
0.500 0.500 0.200 Fe
0.000 0.000 0.461 Pt
0.500 0.500 0.755 W
```

energy relative to the elements: -1.119 kcal/mol of atoms
calculated volume: 52 Å³/cell
space-group type: No. 99
spin magnetization: 4.6 μB/f.u.